Entry 1:
DFT (meta-GGA SCAN) results for a crystal of TlTcPd2 relaxed with PBEsol.

```
TlTcPd2
1.0
-2.079 -3.141 2.500
2.380 -2.518 2.904
-0.490 0.614 4.452
Tl Pd Tc
1 2 1
direct
0.500 0.500 0.500
0.750 0.750 0.750
0.250 0.250 0.250
0.000 0.000 0.000
```

- D(E_F) (states/eV/f.u.) = 2.6
- DFT total energy (eV/f.u.) = -171.9
- magnetic moment (μB per formula unit) = 3.09
- DFT formation energy (eV/atom) = 0.26

---

Entry 2:
DFT (meta-GGA SCAN) results for a crystal of Tc2PdW relaxed with PBEsol.

```
Tc2PdW
1.0
4.356 0.000 0.000
2.178 3.772 0.000
2.178 1.257 3.556
W Tc Pd
1 2 1
direct
0.500 0.500 0.500
0.750 0.750 0.750
0.250 0.250 0.250
0.000 0.000 0.000
```

- D(E_F) (states/eV/f.u.) = 3.9
- DFT total energy (eV/f.u.) = -171.7
- magnetic moment (μB per formula unit) = 0.00
- DFT formation energy (eV/atom) = 0.23

---

Entry 3:
DFT (meta-GGA SCAN) results for a crystal of Zr3TcPd relaxed with PBEsol.

```
Zr3TcPd
1.0
4.876 0.000 0.000
0.000 4.876 0.000
0.000 0.000 4.876
Tc Pd Zr
1 1 3
direct
0.000 0.000 0.000
0.500 0.500 0.500
0.500 0.000 0.000
0.000 0.500 0.000
0.000 0.000 0.500
```

- D(E_F) (states/eV/f.u.) = 6.3
- DFT total energy (eV/f.u.) = -157.8
- magnetic moment (μB per formula unit) = 0.00
- DFT formation energy (eV/atom) = 0.42

---

Entry 4:
DFT (meta-GGA SCAN) results for a crystal of Te3Pd13 relaxed with PBEsol.

```
Te3Pd13
1.0
-1.910 4.508 -7.488
-4.550 -3.993 -6.588
-8.434 2.436 -1.727
Pd Te
26 6
direct
0.500 0.500 0.500
0.885 0.885 0.885
0.988 0.512 0.512
0.738 0.738 0.262
0.738 0.262 0.262
0.904 0.365 0.365
0.365 0.904 0.365
0.346 0.885 0.885
0.738 0.262 0.738
0.365 0.365 0.904
0.885 0.346 0.885
0.125 0.125 0.625
0.262 0.738 0.738
0.625 0.125 0.125
0.512 0.988 0.512
0.125 0.125 0.125
0.988 0.988 0.512
0.512 0.512 0.988
0.512 0.988 0.988
0.125 0.625 0.125
0.750 0.750 0.750
0.262 0.738 0.262
0.885 0.885 0.346
0.988 0.512 0.988
0.262 0.262 0.738
0.365 0.365 0.365
0.250 0.250 0.250
0.625 0.125 0.625
0.625 0.625 0.125
0.125 0.625 0.625
0.625 0.625 0.625
0.000 0.000 0.000
```

- D(E_F) (states/eV/f.u.) = 7.8
- DFT total energy (eV/f.u.) = -542.1
- magnetic moment (μB per formula unit) = 0.00
- E_form (uncorrected) (eV per atom) = -0.26

---

Entry 5:
DFT (meta-GGA SCAN) results for a crystal of Y2TePd2 relaxed with PBEsol.

```
Y2TePd2
1.0
3.835 0.000 0.000
0.000 3.835 0.000
-1.917 -1.917 7.832
Te Pd Y
1 2 2
direct
0.000 0.000 0.000
0.750 0.250 0.500
0.250 0.750 0.500
0.619 0.619 0.238
0.381 0.381 0.762
```

- D(E_F) (states/eV/f.u.) = 3.3
- DFT total energy (eV/f.u.) = -163.3
- magnetic moment (μB per formula unit) = 0.00
- polymorph energy (0 for the lowest one) (eV/atom) = 0.155
- E_form (uncorrected) (eV per atom) = -0.97

---

Entry 6:
DFT (meta-GGA SCAN) results for a crystal of Y2TePd2 relaxed with PBEsol.

```
Y2TePd2
1.0
3.776 0.000 0.000
0.000 7.554 0.000
0.000 0.000 7.554
Y Pd Te
4 4 2
direct
0.500 0.172 0.672
0.500 0.328 0.172
0.500 0.672 0.828
0.500 0.828 0.328
0.000 0.626 0.126
0.000 0.374 0.874
0.000 0.126 0.374
0.000 0.874 0.626
0.000 0.000 0.000
0.000 0.500 0.500
```

- D(E_F) (states/eV/f.u.) = 1.9
- DFT total energy (eV/f.u.) = -164.1
- magnetic moment (μB per formula unit) = 0.00
- polymorph energy (0 for the lowest one) (eV/atom) = 0.000
- E_form (uncorrected) (eV per atom) = -1.12

---

Entry 7:
DFT (meta-GGA SCAN) results for a crystal of Zn2TePd2 relaxed with PBEsol.

```
Zn2TePd2
1.0
-1.889 1.736 2.478
1.993 -1.485 2.559
4.143 4.922 -2.857
Te Zn Pd
1 2 2
direct
0.000 0.000 0.000
0.750 0.250 0.500
0.250 0.750 0.500
0.605 0.605 0.209
0.395 0.395 0.791
```

- D(E_F) (states/eV/f.u.) = 2.3
- DFT total energy (eV/f.u.) = -131.2
- magnetic moment (μB per formula unit) = 0.00
- E_form (uncorrected) (eV per atom) = -0.28

---

Entry 8:
DFT (meta-GGA SCAN) results for a crystal of ThPd relaxed with PBEsol.

```
ThPd
1.0
-1.589 -3.360 2.582
-0.802 -3.246 -4.718
6.664 -2.631 0.677
Th Pd
4 4
direct
0.250 0.137 0.179
0.750 0.863 0.821
0.750 0.637 0.321
0.250 0.363 0.679
0.250 0.854 0.545
0.250 0.646 0.045
0.750 0.146 0.455
0.750 0.354 0.955
```

- D(E_F) (states/eV/f.u.) = 1.7
- DFT total energy (eV/f.u.) = -130.3
- magnetic moment (μB per formula unit) = 0.00
- DFT formation energy (eV/atom) = -0.80

---

Entry 9:
DFT (meta-GGA SCAN) results for a crystal of ThPd3 relaxed with PBEsol.

```
ThPd3
1.0
4.958 0.000 0.000
0.000 5.784 0.000
0.000 -2.892 5.009
Th Pd
2 6
direct
0.750 0.333 0.667
0.250 0.667 0.333
0.750 0.840 0.679
0.750 0.321 0.160
0.250 0.160 0.321
0.250 0.679 0.840
0.250 0.160 0.840
0.750 0.840 0.160
```

- D(E_F) (states/eV/f.u.) = 1.3
- DFT total energy (eV/f.u.) = -198.0
- magnetic moment (μB per formula unit) = 0.00
- DFT formation energy (eV/atom) = -0.95

---

Entry 10:
DFT (meta-GGA SCAN) results for a crystal of Ti3Pd relaxed with PBEsol.

```
Ti3Pd
1.0
-2.059 -4.204 -1.722
4.525 -1.730 -1.187
0.403 -2.053 4.528
Ti Pd
6 2
direct
0.500 0.750 0.000
0.500 0.250 0.000
0.250 0.000 0.500
0.000 0.500 0.250
0.750 0.000 0.500
0.000 0.500 0.750
0.000 0.000 0.000
0.500 0.500 0.500
```

- D(E_F) (states/eV/f.u.) = 5.5
- DFT total energy (eV/f.u.) = -82.6
- magnetic moment (μB per formula unit) = 0.00
- DFT formation energy (eV/atom) = -0.43

---

Entry 11:
DFT (meta-GGA SCAN) results for a crystal of TiPd relaxed with PBEsol.

```
TiPd
1.0
3.129 0.000 0.000
0.000 3.129 0.000
0.000 0.000 3.129
Ti Pd
1 1
direct
0.000 0.000 0.000
0.500 0.500 0.500
```

- D(E_F) (states/eV/f.u.) = 2.6
- DFT total energy (eV/f.u.) = -49.9
- magnetic moment (μB per formula unit) = 0.68
- DFT formation energy (eV/atom) = -0.53

---

Entry 12:
DFT (meta-GGA SCAN) results for a crystal of TiPd relaxed with PBEsol.

```
TiPd
1.0
-2.687 0.720 0.128
-0.266 -0.510 -2.725
-0.939 -3.640 0.773
Ti Pd
1 1
direct
0.500 0.500 0.500
0.000 0.000 0.000
```

- D(E_F) (states/eV/f.u.) = 1.6
- DFT total energy (eV/f.u.) = -50.1
- magnetic moment (μB per formula unit) = 0.69
- DFT formation energy (eV/atom) = -0.62

---

Which of these has the lowest D(E_F)? ThPd3